{
  "formula": "Mn2AgAs",
  "functional": "PBE",
  "state": "relaxed",
  "lattice_angstrom": [[-0.373, 3.160, 0.797], [-3.180, -0.529, 0.606], [1.271, -1.255, 5.573]],
  "species": ["Mn", "Mn", "Ag", "As"],
  "fractional_positions": [[0.000, 0.000, 0.977], [0.000, 0.000, 0.523], [0.500, 0.500, 0.250], [0.500, 0.500, 0.750]],
  "crystal_system": "tetragonal",
  "magnetic_moment_mub_per_cell": 6.858,
  "energy_ev_per_atom": -6.2890
}


{
  "formula": "LiLaGa2Au5",
  "functional": "PBE",
  "state": "relaxed",
  "lattice_angstrom": [[4.784, 0.000, 0.000], [0.000, 4.784, 0.000], [0.000, 0.000, 8.447]],
  "species": ["Ga", "Ga", "Au", "Au", "Au", "Au", "Au", "Li", "La"],
  "fractional_positions": [[0.500, 0.500, 0.852], [0.500, 0.500, 0.148], [0.000, 0.500, 0.739], [0.500, 0.000, 0.739], [0.000, 0.500, 0.261], [0.500, 0.000, 0.261], [0.500, 0.500, 0.500], [0.000, 0.000, 0.000], [0.000, 0.000, 0.500]],
  "crystal_system": "tetragonal",
  "magnetic_moment_mub_per_cell": 0.000,
  "energy_ev_per_atom": -3.6631
}


{
  "formula": "Pm2Se2F",
  "functional": "PBE",
  "state": "relaxed",
  "lattice_angstrom": [[-2.605, 2.676, 1.387], [-2.492, -4.496, 3.995], [7.171, 1.071, 5.679]],
  "species": ["Se", "Se", "Se", "Se", "Pm", "Pm", "Pm", "Pm", "F", "F"],
  "fractional_positions": [[0.032, 0.243, 0.064], [0.800, 0.440, 0.600], [0.200, 0.940, 0.400], [0.968, 0.743, 0.936], [0.179, 0.438, 0.358], [0.425, 0.428, 0.851], [0.575, 0.928, 0.149], [0.821, 0.938, 0.642], [0.376, 0.085, 0.753], [0.624, 0.585, 0.247]],
  "crystal_system": "orthorhombic",
  "raw_formation_energy_kj_per_mol_fu": -1136,
  "magnetic_moment_mub_per_cell": 0.003
}


Number 1 is which compound? Mn2AgAs